1.
NaMg5Pb4 after structural relaxation, computed with PBE.

As for the formation energy: -0.0224 eV/atom. The value obtained for the calculated volume is 26.716 A^3/atom.

The space group is P4/mmm (No. 123) and the conventional cell measures 3.616, 3.616 and 20.432 Å, with angles of 90.00, 90.00 and 90.00 degrees. The inequivalent atoms are Na at (0.000, 0.000, 0.000), Mg at (0.500, 0.500, 0.108), Mg at (0.500, 0.500, 0.302), Mg at (0.500, 0.500, 0.500), Pb at (0.000, 0.000, 0.205) and Pb at (0.000, 0.000, 0.401).



2.
NaMg2Pb after structural relaxation, computed with PBE.

As for the formation energy: -0.0302 eV/atom. The value obtained for the calculated volume is 25.467 A^3/atom.

The space group is F-43m (No. 216) and the conventional cell measures 7.414, 7.414 and 7.414 Å, with angles of 90.00, 90.00 and 90.00 degrees. The inequivalent atoms are Na at (0.000, 0.000, 0.000), Mg at (0.000, 0.000, 0.500), Mg at (0.250, 0.250, 0.750) and Pb at (0.250, 0.250, 0.250).



3.
Na2Mg2Pb5 after structural relaxation, computed with PBE.

As for the formation energy: -0.0176 eV/atom. The value obtained for the calculated volume is 30.206 A^3/atom.

The space group is Cmce (No. 64) and the conventional cell measures 17.761, 7.886 and 7.763 Å, with angles of 90.00, 90.00 and 90.00 degrees. The inequivalent atoms are Na at (0.218, 0.000, 0.000), Mg at (0.000, 0.138, 0.364), Pb at (0.000, 0.000, 0.000) and Pb at (0.122, 0.158, 0.660).



| no. | D(E_F) (states/eV per cell) | magnetic moment (μB/f.u.) |
| --- | --- | --- |
| 1 | 3.40 | 0.00 |
| 2 | 10.34 | 0.00 |
| 3 | 14.29 | 0.00 |